(a)
Here is a relaxed structure of Rb2TlHF6 from Alexandria. Energies are from PBE.

Geometry as POSCAR:
```
Rb2TlHF6
1.0
3.570 -5.021 0.000
3.570 5.021 0.000
-2.852 0.000 4.875
Rb Tl H F
2 1 1 6
direct
0.211 0.789 0.000
0.789 0.211 0.000
0.490 0.490 0.501
0.997 0.997 0.506
0.141 0.141 0.430
0.296 0.722 0.506
0.322 0.322 0.064
0.693 0.693 0.936
0.722 0.296 0.506
0.880 0.880 0.568
```

As for the density of states at the Fermi level: 0.000 states/eV/atom. As for the symmetry: No. 8. Its total magnetic moment is 0.000 μB per cell. The calculation puts the volume at 174.8 Å³/cell.

***

(b)
Here is a relaxed structure of Rb2TlHF6 from Alexandria. Energies are from PBE.

Geometry as POSCAR:
```
Rb2TlHF6
1.0
-2.793 2.793 5.122
2.793 -2.793 5.122
2.793 2.793 -5.122
Rb Tl H F
2 1 1 6
direct
0.250 0.750 0.500
0.750 0.250 0.500
0.000 0.000 0.000
0.500 0.500 0.000
0.211 0.211 0.000
0.283 0.283 0.566
0.283 0.717 0.000
0.717 0.283 0.000
0.717 0.717 0.434
0.789 0.789 0.000
```

As for the density of states at the Fermi level: 0.000 states/eV/atom. As for the symmetry: No. 139. Its total magnetic moment is 0.000 μB per cell. The calculation puts the volume at 159.8 Å³/cell.

***

It is (a) that is the most stable of them.

***

(a)
Here is a relaxed structure of Re2HF from Alexandria. Energies are from PBE.

Geometry as POSCAR:
```
Re2HF
1.0
-2.343 2.343 4.251
2.343 -2.343 4.251
2.343 2.343 -4.251
Re H F
4 2 2
direct
0.020 0.625 0.895
0.375 0.270 0.395
0.730 0.125 0.105
0.875 0.980 0.605
0.000 0.000 0.000
0.750 0.250 0.500
0.250 0.750 0.500
0.500 0.500 0.000
```

As for the density of states at the Fermi level: 0.319 states/eV/atom. As for the symmetry: No. 122. Its total magnetic moment is 0.000 μB per cell. The calculation puts the volume at 93.4 Å³/cell.

***

(b)
Here is a relaxed structure of Re2HF from Alexandria. Energies are from PBE.

Geometry as POSCAR:
```
Re2HF
1.0
0.000 2.801 2.801
2.801 0.000 2.801
2.801 2.801 0.000
Re H F
2 1 1
direct
0.250 0.250 0.250
0.750 0.750 0.750
0.000 0.000 0.000
0.500 0.500 0.500
```

As for the density of states at the Fermi level: 0.811 states/eV/atom. As for the symmetry: No. 225. Its total magnetic moment is 0.000 μB per cell. The calculation puts the volume at 43.9 Å³/cell.

***

It is (a) that is the most stable of them.